Entry from Alexandria: crystalline Sn2SbI at its relaxed geometry (PBE).

Cell lengths 5.535, 5.535, 5.535 Å; angles 60.00, 60.00, 60.00 degrees
Fractional coordinates of all 4 atoms:
1 Sn 0.250 0.250 0.250
2 Sn 0.750 0.750 0.750
3 Sb 0.000 0.000 0.000
4 I 0.500 0.500 0.500

Computed properties:
Its energy relative to the elements, uncorrected is 0.0743 eV per atom. The raw total energy comes out at -13.381 eV for the cell shown.


Entry from Alexandria: crystalline Te2IrIF at its relaxed geometry (PBE).

Cell lengths 5.154, 5.154, 5.585 Å; angles 90.00, 90.00, 90.00 degrees
Fractional coordinates of all 5 atoms:
1 Te 0.000 0.500 0.000
2 Te 0.500 0.000 0.000
3 Ir 0.000 0.000 0.000
4 I 0.000 0.000 0.500
5 F 0.500 0.500 0.500

Computed properties:
Its energy relative to the elements, uncorrected is 0.2702 eV per atom. The raw total energy comes out at -17.215 eV for the cell shown.


Entry from Alexandria: crystalline TbB2F8 at its relaxed geometry (PBE).

Cell lengths 5.394, 5.394, 5.946 Å; angles 109.89, 109.89, 55.60 degrees
Fractional coordinates of all 11 atoms:
1 Tb 0.000 0.000 0.000
2 B 0.194 0.194 0.692
3 B 0.806 0.806 0.308
4 F 0.097 0.648 0.242
5 F 0.160 0.160 0.439
6 F 0.352 0.903 0.758
7 F 0.355 0.355 0.819
8 F 0.645 0.645 0.181
9 F 0.648 0.097 0.242
10 F 0.840 0.840 0.561
11 F 0.903 0.352 0.758

Computed properties:
Its energy relative to the elements, uncorrected is -2.8926 eV per atom. The raw total energy comes out at -64.774 eV for the cell shown.


Entry from Alexandria: crystalline Tm2CdSe4 at its relaxed geometry (PBE).

Cell lengths 8.270, 8.270, 8.270 Å; angles 60.00, 60.00, 60.00 degrees
Fractional coordinates of all 14 atoms:
1 Tm 0.000 0.000 0.000
2 Tm 0.000 0.000 0.500
3 Tm 0.000 0.500 0.000
4 Tm 0.500 0.000 0.000
5 Cd 0.375 0.375 0.375
6 Cd 0.625 0.625 0.625
7 Se 0.227 0.758 0.758
8 Se 0.242 0.242 0.242
9 Se 0.242 0.242 0.773
10 Se 0.242 0.773 0.242
11 Se 0.758 0.227 0.758
12 Se 0.758 0.758 0.227
13 Se 0.758 0.758 0.758
14 Se 0.773 0.242 0.242

Computed properties:
Its energy relative to the elements, uncorrected is -1.5137 eV per atom. The raw total energy comes out at -68.784 eV for the cell shown.


Entry from Alexandria: crystalline K2Np3ScO12 at its relaxed geometry (PBE).

Cell lengths 7.576, 7.576, 7.576 Å; angles 62.93, 62.93, 62.93 degrees
Fractional coordinates of all 18 atoms:
1 K 0.148 0.148 0.148
2 K 0.852 0.852 0.852
3 Np 0.000 0.500 0.500
4 Np 0.500 0.000 0.500
5 Np 0.500 0.500 0.000
6 Sc 0.500 0.500 0.500
7 O 0.178 0.566 0.566
8 O 0.182 0.182 0.562
9 O 0.182 0.562 0.182
10 O 0.434 0.434 0.822
11 O 0.434 0.822 0.434
12 O 0.438 0.818 0.818
13 O 0.562 0.182 0.182
14 O 0.566 0.178 0.566
15 O 0.566 0.566 0.178
16 O 0.818 0.438 0.818
17 O 0.818 0.818 0.438
18 O 0.822 0.434 0.434

Computed properties:
Its energy relative to the elements, uncorrected is -2.7061 eV per atom. The raw total energy comes out at -155.558 eV for the cell shown.


Entry from Alexandria: crystalline CeTlN2 at its relaxed geometry (PBE).

Cell lengths 6.801, 6.801, 6.801 Å; angles 31.83, 31.83, 31.83 degrees
Fractional coordinates of all 4 atoms:
1 Ce 0.000 0.000 0.000
2 Tl 0.500 0.500 0.500
3 N 0.388 0.388 0.388
4 N 0.612 0.612 0.612

Computed properties:
Its energy relative to the elements, uncorrected is -0.3314 eV per atom. The raw total energy comes out at -26.276 eV for the cell shown.


Entry from Alexandria: crystalline Tb4Ho3 at its relaxed geometry (PBE).

Cell lengths 12.762, 12.762, 12.762 Å; angles 164.09, 157.39, 27.76 degrees
Fractional coordinates of all 7 atoms:
1 Tb 0.071 0.071 0.000
2 Tb 0.214 0.214 0.000
3 Tb 0.786 0.786 0.000
4 Tb 0.929 0.929 0.000
5 Ho 0.357 0.357 0.000
6 Ho 0.500 0.500 0.000
7 Ho 0.643 0.643 0.000

Computed properties:
The raw total energy comes out at -32.135 eV for the cell shown. The value obtained for the energy of formation is 0.017 eV/atom.


Entry from Alexandria: crystalline YSc2AlAu4 at its relaxed geometry (PBE).

Cell lengths 8.686, 8.686, 8.686 Å; angles 31.64, 31.64, 31.64 degrees
Fractional coordinates of all 8 atoms:
1 Y 0.000 0.000 0.000
2 Sc 0.242 0.242 0.242
3 Sc 0.758 0.758 0.758
4 Al 0.500 0.500 0.500
5 Au 0.124 0.124 0.124
6 Au 0.391 0.391 0.391
7 Au 0.609 0.609 0.609
8 Au 0.876 0.876 0.876

Computed properties:
The raw total energy comes out at -41.937 eV for the cell shown. The value obtained for the energy of formation is -0.745 eV/atom.


Entry from Alexandria: crystalline LiSn2Ge2 at its relaxed geometry (PBE).

Cell lengths 7.612, 7.612, 3.996 Å; angles 90.00, 90.00, 90.00 degrees
Fractional coordinates of all 10 atoms:
1 Li 0.000 0.000 0.000
2 Li 0.500 0.500 0.000
3 Sn 0.161 0.339 0.500
4 Sn 0.339 0.839 0.500
5 Sn 0.661 0.161 0.500
6 Sn 0.839 0.661 0.500
7 Ge 0.133 0.633 0.000
8 Ge 0.367 0.133 0.000
9 Ge 0.633 0.867 0.000
10 Ge 0.867 0.367 0.000

Computed properties:
The raw total energy comes out at -38.041 eV for the cell shown. The value obtained for the energy of formation is 0.027 eV/atom.


Entry from Alexandria: crystalline TaMnRe2 at its relaxed geometry (PBE).

Cell lengths 9.226, 9.226, 9.226 Å; angles 17.22, 17.22, 17.22 degrees
Fractional coordinates of all 4 atoms:
1 Ta 0.000 0.000 0.000
2 Mn 0.500 0.500 0.500
3 Re 0.242 0.242 0.242
4 Re 0.758 0.758 0.758

Computed properties:
The raw total energy comes out at -45.148 eV for the cell shown. The value obtained for the energy of formation is 0.193 eV/atom.


Entry from Alexandria: crystalline GePtI3 at its relaxed geometry (PBE).

Cell lengths 5.471, 5.471, 5.471 Å; angles 90.00, 90.00, 90.00 degrees
Fractional coordinates of all 5 atoms:
1 Ge 0.000 0.000 0.000
2 Pt 0.500 0.500 0.500
3 I 0.000 0.500 0.500
4 I 0.500 0.000 0.500
5 I 0.500 0.500 0.000

Computed properties:
Its energy relative to the elements, uncorrected is 0.3283 eV per atom. The raw total energy comes out at -13.667 eV for the cell shown.


Entry from Alexandria: crystalline ZnS at its relaxed geometry (PBE).

Cell lengths 6.631, 6.631, 3.864 Å; angles 90.00, 90.00, 90.00 degrees
Fractional coordinates of all 8 atoms:
1 Zn 0.175 0.175 0.000
2 Zn 0.325 0.675 0.500
3 Zn 0.675 0.325 0.500
4 Zn 0.825 0.825 0.000
5 S 0.186 0.814 0.000
6 S 0.314 0.314 0.500
7 S 0.686 0.686 0.500
8 S 0.814 0.186 0.000

Computed properties:
Its energy relative to the elements, uncorrected is -0.7669 eV per atom. The raw total energy comes out at -27.741 eV for the cell shown.